Entry 1:
# NdSmNiPt, relaxed, DFT PBE-GGA
# SG   Amm2, No. 38
data_NdSmNiPt
_chemical_formula_sum 'Nd1 Sm1 Ni1 Pt1'
_cell_length_a 4.4270
_cell_length_b 5.6377
_cell_length_c 5.6377
_cell_angle_alpha 40.83
_cell_angle_beta 90.00
_cell_angle_gamma 90.00
_symmetry_space_group_name_H-M 'P 1'
_symmetry_Int_Tables_number 1
loop_
_symmetry_equiv_pos_as_xyz
'x,y,z'
loop_
_atom_site_label
_atom_site_fract_x
_atom_site_fract_y
_atom_site_fract_z
_atom_site_occupancy
Nd1 0.0000 0.0000 0.0000 1
Sm1 0.5000 0.7212 0.7212 1
Ni1 0.0000 0.2798 0.2798 1
Pt1 0.5000 0.4357 0.4357 1

Entry 2:
# LiTb3Sb2, relaxed, DFT PBE-GGA
# Formation energy (no corrections)   -0.74 eV/atom
# SG   Ibam, No. 72
data_LiTb3Sb2
_chemical_formula_sum 'Li2 Tb6 Sb4'
_cell_length_a 9.4850
_cell_length_b 9.4850
_cell_length_c 9.4850
_cell_angle_alpha 141.63
_cell_angle_beta 55.07
_cell_angle_gamma 142.06
_symmetry_space_group_name_H-M 'P 1'
_symmetry_Int_Tables_number 1
loop_
_symmetry_equiv_pos_as_xyz
'x,y,z'
loop_
_atom_site_label
_atom_site_fract_x
_atom_site_fract_y
_atom_site_fract_z
_atom_site_occupancy
Li1 0.2500 0.2500 0.0000 1
Li2 0.7500 0.7500 0.0000 1
Tb1 0.1785 0.7486 0.9271 1
Tb2 0.2500 0.7500 0.5000 1
Tb3 0.3215 0.2486 0.5701 1
Tb4 0.6785 0.7514 0.4299 1
Tb5 0.7500 0.2500 0.5000 1
Tb6 0.8215 0.2514 0.0729 1
Sb1 0.1360 0.2458 0.3818 1
Sb2 0.3640 0.7458 0.1099 1
Sb3 0.6360 0.2542 0.8901 1
Sb4 0.8640 0.7542 0.6182 1

Entry 3:
# In2CuIr, relaxed, DFT PBE-GGA
# SG   Amm2, No. 38
data_In2CuIr
_chemical_formula_sum 'In2 Cu1 Ir1'
_cell_length_a 4.3073
_cell_length_b 5.3828
_cell_length_c 5.3828
_cell_angle_alpha 35.05
_cell_angle_beta 90.00
_cell_angle_gamma 90.00
_symmetry_space_group_name_H-M 'P 1'
_symmetry_Int_Tables_number 1
loop_
_symmetry_equiv_pos_as_xyz
'x,y,z'
loop_
_atom_site_label
_atom_site_fract_x
_atom_site_fract_y
_atom_site_fract_z
_atom_site_occupancy
In1 0.0000 0.0000 0.0000 1
In2 0.5000 0.3050 0.3050 1
Cu1 0.0000 0.7292 0.7292 1
Ir1 0.5000 0.5781 0.5781 1

Entry 4:
# PRuW3, relaxed, DFT PBE-GGA
# Energy relative to the lowest polymorph listed for this composition   1129.6 meV/atom
# SG   Pm-3m, No. 221
data_PRuW3
_chemical_formula_sum 'P1 Ru1 W3'
_cell_length_a 4.6970
_cell_length_b 4.6970
_cell_length_c 4.6970
_cell_angle_alpha 90.00
_cell_angle_beta 90.00
_cell_angle_gamma 90.00
_symmetry_space_group_name_H-M 'P 1'
_symmetry_Int_Tables_number 1
loop_
_symmetry_equiv_pos_as_xyz
'x,y,z'
loop_
_atom_site_label
_atom_site_fract_x
_atom_site_fract_y
_atom_site_fract_z
_atom_site_occupancy
P1 0.0000 0.0000 0.0000 1
Ru1 0.5000 0.5000 0.5000 1
W1 0.0000 0.5000 0.5000 1
W2 0.5000 0.0000 0.5000 1
W3 0.5000 0.5000 0.0000 1

| no. | DFT total energy (eV per formula unit) | M_tot (Bohr magnetons per cell) |
| --- | --- | --- |
| 1 | -24.35 | 0.0 |
| 2 | -28.52 | 0.6 |
| 3 | -18.54 | 0.0 |
| 4 | -42.84 | 0.0 |